[1]
# LuInSn2

A geometry-optimized LuInSn2 structure (GGA-PBE, the Alexandria database).

Output
Its space group is No. 123. The value obtained for the formation energy is -276.2 meV per atom. For the total energy, the calculation gives -16.4 eV for the cell shown. The density of states at the Fermi level is 0.47 states/eV per atom. The value obtained for the offset from the most stable computed form is 23 kJ/mol of formula units. For the volume, the calculation gives 26.21 Å³ per atom.

```
LuInSn2
1.0
4.081 0.000 0.000
0.000 4.081 0.000
0.000 0.000 6.293
Lu Sn In
1 2 1
direct
0.500 0.500 0.500
0.000 0.000 0.741
0.000 0.000 0.259
0.500 0.500 0.000
```



[2]
# LuIn2Sn

A geometry-optimized LuIn2Sn structure (GGA-PBE, the Alexandria database).

Output
Its space group is No. 225. The value obtained for the formation energy is -107.9 meV per atom. For the total energy, the calculation gives -14.4 eV for the cell shown. The density of states at the Fermi level is 0.40 states/eV per atom. The value obtained for the offset from the most stable computed form is 86 kJ/mol of formula units. For the volume, the calculation gives 26.75 Å³ per atom.

```
LuIn2Sn
1.0
5.329 0.000 0.000
2.664 4.615 0.000
2.664 1.538 4.351
Lu Sn In
1 1 2
direct
0.500 0.500 0.500
0.000 0.000 0.000
0.750 0.750 0.750
0.250 0.250 0.250
```



[3]
# LuIn2Sn

A geometry-optimized LuIn2Sn structure (GGA-PBE, the Alexandria database).

Output
Its space group is No. 123. The value obtained for the formation energy is -178.3 meV per atom. For the total energy, the calculation gives -14.7 eV for the cell shown. The density of states at the Fermi level is 0.58 states/eV per atom. The value obtained for the offset from the most stable computed form is 59 kJ/mol of formula units. For the volume, the calculation gives 25.71 Å³ per atom.

```
LuIn2Sn
1.0
3.874 0.000 0.000
0.000 3.874 0.000
0.000 0.000 6.853
Lu Sn In
1 1 2
direct
0.500 0.500 0.500
0.500 0.500 0.000
0.000 0.000 0.760
0.000 0.000 0.240
```



The lowest volume belongs to which entry?
number 3